This record from Alexandria describes LaLu2Ru after structural relaxation. The functional is GGA-PBE.

Computed properties:
* Fermi-level density of states: 0.7308 states/eV per atom
* calculated formation energy: -316 meV/atom

```
data_LaLu2Ru
_cell_length_a 3.398
_cell_length_b 3.398
_cell_length_c 9.033
_cell_angle_alpha 90.00
_cell_angle_beta 90.00
_cell_angle_gamma 90.00
_symmetry_space_group_name_H-M 'P 4/m m m'
_symmetry_Int_Tables_number 123
_symmetry_space_group_name_Hall '-P 4 2'
loop_
_atom_site_label
_atom_site_type_symbol
_atom_site_fract_x
_atom_site_fract_y
_atom_site_fract_z
La1 La 0.000 0.000 0.000
Lu1 Lu 0.500 0.500 0.324
Ru1 Ru 0.000 0.000 0.500
```